(1)
This record from Alexandria describes crystalline TlP2RuO8 at its relaxed geometry. The functional is PBE.

abc: 8.291 5.244 8.457
angles: 90.00 94.13 90.00
Space group C2/m (No. 12)
Asymmetric unit:
Tl 0.000 0.000 0.000 x2
P 0.134 0.500 0.309 x4
Ru 0.000 0.000 0.500 x2
O 0.024 0.260 0.334 x8
O 0.189 0.500 0.144 x4
O 0.232 0.000 0.552 x4

* formation energy from raw total energies: -155.5 kJ/mol of atoms

(2)
This record from Alexandria describes crystalline TlBPd2Rh at its relaxed geometry. The functional is PBE.

abc: 4.277 4.277 4.161
angles: 90.00 90.00 90.00
Space group P4/mmm (No. 123)
Asymmetric unit:
Tl 0.000 0.000 0.000 x1
B 0.500 0.500 0.500 x1
Pd 0.000 0.500 0.500 x2
Rh 0.500 0.500 0.000 x1

* energy of formation from the pure elements: -0.1821 eV/atom

(3)
This record from Alexandria describes crystalline Dy4Te2SeN2 at its relaxed geometry. The functional is PBE.

abc: 15.660 4.014 7.292
angles: 90.00 106.65 90.00
Space group C2/m (No. 12)
Asymmetric unit:
Dy 0.054 0.000 0.272 x4
Dy 0.211 0.500 0.648 x4
Te 0.135 0.500 0.038 x4
Se 0.000 0.500 0.500 x2
N 0.177 0.000 0.488 x4

* formation energy from raw total energies: -156.1 kJ/mol of atoms

no.,volume (Å³ per atom)
1,15.28
2,15.23
3,24.40